(1)
Material: ZrBiBr2
Method: DFT, PBE-GGA
State: relaxed

Geometry as extended XYZ:
```
8
Lattice="-4.796 4.796 2.907 4.796 -4.796 2.907 4.796 4.796 -2.907" Properties=species:S:1:pos:R:3 pbc="T T T"
Zr 0.000 0.000 0.000
Zr 0.000 4.796 1.454
Bi 4.796 0.000 1.454
Bi 0.000 0.000 2.907
Br -1.143 2.398 0.727
Br 2.398 3.653 2.181
Br 1.143 7.194 0.727
Br -2.398 5.939 2.181
```

Symmetry   I-42d (122)
Energy relative to the elements, uncorrected   -0.4024 eV per atom
Relative energy among the computed polymorphs   1.27 eV per formula unit


(2)
Material: LiCoPb2
Method: DFT, PBE-GGA
State: relaxed

Geometry as extended XYZ:
```
4
Lattice="-2.027 2.027 4.962 2.027 -2.027 4.962 2.027 2.027 -4.962" Properties=species:S:1:pos:R:3 pbc="T T T"
Li 0.000 0.000 0.000
Co 0.000 2.027 2.481
Pb 2.027 0.000 2.481
Pb 0.000 0.000 4.962
```

Symmetry   I-4m2 (119)
Formation enthalpy at 0 K   262 meV/atom


no.,total moment (μB per formula unit)
1,0.00
2,1.34